Computed, not measured: a relaxed structure of LiAgAs2Se at the PBE-GGA level of DFT.

a b c (Å): 4.601 4.601 4.770
angles (deg): 90.00 90.00 90.00
Space group P4/mmm (No. 123)
Unique sites:
Li 0.000 0.000 0.000 (multiplicity 1)
Ag 0.500 0.500 0.500 (multiplicity 1)
As 0.000 0.500 0.000 (multiplicity 2)
Se 0.000 0.000 0.500 (multiplicity 1)

Computed properties:
Calculated density = 5651 kg/m3
Polymorph energy (0 for the lowest one) = 0.00 eV/f.u.
E_form (uncorrected) = 0.450 eV per atom
Magnetic moment = 0.000 μB per formula unit